Record 1
Compound: K2ZnCrH6
Source: the Alexandria database
Functional: PBE
Structure: optimized geometry

The total energy comes out at -3.357 eV per atom.

It has space group I4/mmm (No. 139), with a = 5.4770 Å, b = 5.4770 Å, c = 7.7342 Å, α = 90.00°, β = 90.00° and γ = 90.00°. Symmetry generates all atoms from K at (0.0000, 0.5000, 0.2500), Zn at (0.0000, 0.0000, 0.0000), Cr at (0.0000, 0.0000, 0.5000), H at (0.0000, 0.0000, 0.2563) and H at (0.2438, 0.2438, 0.5000).

---

Record 2
Compound: LaCr2H
Source: the Alexandria database
Functional: PBE
Structure: optimized geometry

The total energy comes out at -6.508 eV per atom.

It has space group I4_1/amd (No. 141, origin choice 2), with a = 5.4845 Å, b = 5.4845 Å, c = 7.7866 Å, α = 90.00°, β = 90.00° and γ = 90.00°. Symmetry generates all atoms from La at (0.0000, 0.2500, 0.3750), Cr at (0.0000, 0.0000, 0.0000) and H at (0.0000, 0.2500, 0.8750).

---

Record 3
Compound: LaCrH5
Source: the Alexandria database
Functional: PBE
Structure: optimized geometry

The total energy comes out at -4.622 eV per atom.

It has space group Cmcm (No. 63), with a = 3.9781 Å, b = 6.4345 Å, c = 11.4542 Å, α = 90.00°, β = 90.00° and γ = 90.00°. Symmetry generates all atoms from La at (0.0000, 0.1861, 0.2500), Cr at (0.0000, 0.5000, 0.0000), H at (0.0000, 0.1561, 0.7500), H at (0.0000, 0.2134, 0.0369) and H at (0.0000, 0.4733, 0.6561).

---

Record 4
Compound: LaCr2H
Source: the Alexandria database
Functional: PBE
Structure: optimized geometry

The total energy comes out at -5.442 eV per atom.

It has space group Fm-3m (No. 225), with a = 5.9372 Å, b = 5.9372 Å, c = 5.9372 Å, α = 90.00°, β = 90.00° and γ = 90.00°. Symmetry generates all atoms from La at (0.0000, 0.0000, 0.0000), Cr at (0.2500, 0.2500, 0.2500) and H at (0.0000, 0.0000, 0.5000).

---

Record 5
Compound: La3CrH
Source: the Alexandria database
Functional: PBE
Structure: optimized geometry

The total energy comes out at -5.142 eV per atom.

It has space group Pm-3m (No. 221), with a = 4.9213 Å, b = 4.9213 Å, c = 4.9213 Å, α = 90.00°, β = 90.00° and γ = 90.00°. Symmetry generates all atoms from La at (0.0000, 0.0000, 0.5000), Cr at (0.5000, 0.5000, 0.5000) and H at (0.0000, 0.0000, 0.0000).

---

Record 6
Compound: LaCrH3
Source: the Alexandria database
Functional: PBE
Structure: optimized geometry

The total energy comes out at -3.971 eV per atom.

It has space group Pm-3m (No. 221), with a = 4.3202 Å, b = 4.3202 Å, c = 4.3202 Å, α = 90.00°, β = 90.00° and γ = 90.00°. Symmetry generates all atoms from La at (0.0000, 0.0000, 0.0000), Cr at (0.5000, 0.5000, 0.5000) and H at (0.0000, 0.0000, 0.5000).

---

Record 7
Compound: LaCrH3
Source: the Alexandria database
Functional: PBE
Structure: optimized geometry

The total energy comes out at -5.095 eV per atom.

It has space group Pm-3m (No. 221), with a = 3.7208 Å, b = 3.7208 Å, c = 3.7208 Å, α = 90.00°, β = 90.00° and γ = 90.00°. Symmetry generates all atoms from La at (0.0000, 0.0000, 0.0000), Cr at (0.5000, 0.5000, 0.5000) and H at (0.0000, 0.5000, 0.5000).

---

Record 8
Compound: Li2LaCrH8
Source: the Alexandria database
Functional: PBE
Structure: optimized geometry

The total energy comes out at -3.964 eV per atom.

It has space group P-1 (No. 2), with a = 3.2695 Å, b = 5.9684 Å, c = 6.0956 Å, α = 68.65°, β = 89.28° and γ = 88.92°. Symmetry generates all atoms from Li at (0.0109, 0.1172, 0.2338), La at (0.5000, 0.5000, 0.5000), Cr at (0.5000, 0.5000, 0.0000), H at (0.0031, 0.4766, 0.8576), H at (0.0076, 0.1955, 0.5768), H at (0.4913, 0.7470, 0.0791) and H at (0.4949, 0.7388, 0.7401).

---

Record 9
Compound: LaMg2CrH8
Source: the Alexandria database
Functional: PBE
Structure: optimized geometry

The total energy comes out at -3.989 eV per atom.

It has space group P-1 (No. 2), with a = 4.6201 Å, b = 4.6249 Å, c = 5.6593 Å, α = 72.79°, β = 89.98° and γ = 89.97°. Symmetry generates all atoms from La at (0.0000, 0.0000, 0.0000), Mg at (0.5002, 0.4140, 0.2847), Cr at (0.0000, 0.5000, 0.5000), H at (0.0015, 0.5704, 0.7864), H at (0.2581, 0.2319, 0.6073), H at (0.2588, 0.7667, 0.3917) and H at (0.4998, 0.2159, 0.0351).

---

Record 10
Compound: LaMnCr2H
Source: the Alexandria database
Functional: PBE
Structure: optimized geometry

The total energy comes out at -6.631 eV per atom.

It has space group P4/mmm (No. 123), with a = 3.6546 Å, b = 3.6546 Å, c = 4.9583 Å, α = 90.00°, β = 90.00° and γ = 90.00°. Symmetry generates all atoms from La at (0.0000, 0.0000, 0.0000), Mn at (0.5000, 0.5000, 0.0000), Cr at (0.0000, 0.5000, 0.5000) and H at (0.0000, 0.0000, 0.5000).

---

Record 11
Compound: LaCrHN2
Source: the Alexandria database
Functional: PBE
Structure: optimized geometry

The total energy comes out at -7.740 eV per atom.

It has space group P4/mmm (No. 123), with a = 3.8574 Å, b = 3.8574 Å, c = 3.6363 Å, α = 90.00°, β = 90.00° and γ = 90.00°. Symmetry generates all atoms from La at (0.0000, 0.0000, 0.0000), Cr at (0.5000, 0.5000, 0.5000), H at (0.5000, 0.5000, 0.0000) and N at (0.0000, 0.5000, 0.5000).

---

Record 12
Compound: LaCrNi2H8
Source: the Alexandria database
Functional: PBE
Structure: optimized geometry

The total energy comes out at -4.567 eV per atom.

It has space group R-3 (No. 148, hexagonal axes), with a = 4.5536 Å, b = 4.5536 Å, c = 16.5687 Å, α = 90.00°, β = 90.00° and γ = 120.00°. Symmetry generates all atoms from La at (0.0000, 0.0000, 0.0000), Cr at (0.0000, 0.0000, 0.5000), Ni at (0.0000, 0.0000, 0.2103), H at (0.0000, 0.0000, 0.3066) and H at (0.0160, 0.6999, 0.1155).